A relaxed KBa5In4 crystal, computed with PBE-GGA.

The magnetic moment is 0.0 μB/f.u. As for the total energy: -2.487 eV/atom. The theoretical density is 4.41 Mg/m³. The value obtained for the volume is 446.1 Å³/cell. Its calculated formation energy is -321 meV/atom. Its crystal system is tetragonal.

The space group is P4/mmm (No. 123) and the conventional cell measures 4.3185, 4.3185 and 23.9174 Å, with angles of 90.00, 90.00 and 90.00 degrees. The inequivalent atoms are K at (0.0000, 0.0000, 0.0000), Ba at (0.5000, 0.5000, 0.1526), Ba at (0.5000, 0.5000, 0.3236), Ba at (0.5000, 0.5000, 0.5000), In at (0.0000, 0.0000, 0.2343) and In at (0.0000, 0.0000, 0.4110).


A relaxed K2BaIn crystal, computed with PBE-GGA.

The magnetic moment is 0.0 μB/f.u. As for the total energy: -1.666 eV/atom. The theoretical density is 2.78 Mg/m³. The value obtained for the volume is 394.2 Å³/cell. Its calculated formation energy is 48 meV/atom. Its crystal system is monoclinic.

The space group is C2/m (No. 12) and the conventional cell measures 7.4989, 14.3096 and 4.3740 Å, with angles of 90.00, 122.87 and 90.00 degrees. The inequivalent atoms are K at (0.2500, 0.2500, 0.0000), Ba at (0.0000, 0.0000, 0.5000) and In at (0.0000, 0.5000, 0.5000).